{"formula": "Nd2Au17", "functional": "PBE", "state": "relaxed", "cell": [[0.042, -7.304, -0.676], [6.713, -0.705, -2.872], [3.588, -1.563, 6.204]], "species": ["Nd", "Nd", "Au", "Au", "Au", "Au", "Au", "Au", "Au", "Au", "Au", "Au", "Au", "Au", "Au", "Au", "Au", "Au", "Au"], "frac_coords": [[0.336, 0.336, 0.336], [0.664, 0.664, 0.664], [0.643, 0.643, 0.159], [0.159, 0.643, 0.643], [0.897, 0.897, 0.897], [0.103, 0.103, 0.103], [0.000, 0.000, 0.500], [0.000, 0.500, 0.000], [0.500, 0.000, 0.000], [0.305, 0.695, 0.000], [0.695, 0.000, 0.305], [0.000, 0.305, 0.695], [0.695, 0.305, 0.000], [0.305, 0.000, 0.695], [0.000, 0.695, 0.305], [0.841, 0.357, 0.357], [0.357, 0.357, 0.841], [0.357, 0.841, 0.357], [0.643, 0.159, 0.643]], "space_group": "No. 166", "ef_ev_per_fu": -4.92, "vol_a3_per_atom": 20.24, "e_tot_ev_per_atom": -3.69}